# 1
This record from Alexandria via LeMat-Bulk describes an optimized crystal structure of Tm3Hg. The functional is PBE.

Cell and atoms, written as extended XYZ:
```
4
Lattice="-3.057 3.580 -0.575 -3.376 -2.536 2.161 1.324 1.802 4.183" Properties=species:S:1:pos:R:3 pbc="T T T"
Tm -1.026 -0.367 3.172
Tm -0.867 2.691 1.804
Tm -3.217 0.522 0.793
Hg 0.000 0.000 0.000
```

Calculated values
The energy of formation from the pure elements is -0.15 eV/atom.

# 2
This record from Alexandria via LeMat-Bulk describes an optimized crystal structure of CrP2Rh. The functional is PBE.

Cell and atoms, written as extended XYZ:
```
4
Lattice="-1.899 0.021 -2.535 -0.960 -2.938 0.694 -3.796 1.915 2.859" Properties=species:S:1:pos:R:3 pbc="T T T"
Cr -4.534 0.108 1.418
P -3.647 1.840 2.747
P -2.486 -0.925 -0.125
Rh -1.682 0.849 1.267
```

Calculated values
As for the excess energy over the best structure of this formula in the dataset: 0.20 eV per formula unit. The energy of formation from the pure elements is -0.34 eV/atom.

# 3
This record from Alexandria via LeMat-Bulk describes an optimized crystal structure of Ge2Sb3. The functional is PBE.

Cell and atoms, written as extended XYZ:
```
10
Lattice="-5.686 3.675 -1.547 -5.221 0.404 4.562 -0.703 7.097 3.854" Properties=species:S:1:pos:R:3 pbc="T T T"
Sb -4.536 5.686 6.287
Sb -7.317 8.274 3.937
Sb -3.363 7.107 2.217
Sb -4.293 2.902 2.932
Sb -8.248 4.069 4.652
Sb -7.074 5.490 0.583
Ge -9.657 6.526 4.230
Ge -4.554 8.034 4.650
Ge -1.953 4.650 2.639
Ge -7.056 3.142 2.220
```

Calculated values
The value obtained for the formation energy without anion corrections is 0.307 eV per atom.

# 4
This record from Alexandria via LeMat-Bulk describes an optimized crystal structure of SiAg2TeC. The functional is PBE.

Cell and atoms, written as extended XYZ:
```
5
Lattice="-1.029 4.761 -2.503 -3.002 0.155 1.528 2.273 2.694 4.191" Properties=species:S:1:pos:R:3 pbc="T T T"
Si 0.000 0.000 0.000
Te -0.879 3.805 1.608
C -1.501 0.077 0.764
Ag 1.136 1.347 2.095
Ag -0.514 2.380 -1.251
```

Calculated values
The value obtained for the formation energy without anion corrections is 0.858 eV per atom.